Here is a relaxed LiDySnF6 crystal from the Alexandria database. Energies are from PBE-GGA.

## Properties
DOS(E_F) in states/eV per cell: 0.00
E in eV per atom: -5.610
Spin magnetization in μB/f.u.: 0.00
E_form (uncorrected) in eV/f.u.: -28.74

a = 5.5809 Å, b = 5.5809 Å, c = 5.2530 Å
α = 90.00°, β = 90.00°, γ = 120.00°
Space group P312 (No. 149)
Unique sites:
Li  0.0000  0.0000  0.0000 (multiplicity 1)
Dy  0.6667  0.3333  0.0000 (multiplicity 1)
Sn  0.3333  0.6667  0.5000 (multiplicity 1)
F  0.3228  0.0133  0.2217 (multiplicity 6)